This record from Alexandria via LeMat-Bulk describes BeRuSCl2 at its PBEsol-relaxed geometry. The functional is meta-GGA SCAN.

Summary:
uncorrected formation energy = 178 meV/atom
total DFT energy (no corrections) = -12.775 eV per atom

Lattice parameters (Å, degrees): 4.124 4.124 4.912 90.00 90.00 90.00
Fractional positions:
Be: 0.000 0.000 0.000
Ru: 0.500 0.500 0.500
S: 0.000 0.000 0.500
Cl: 0.000 0.500 0.000
Cl: 0.500 0.000 0.000

=====

This record from Alexandria via LeMat-Bulk describes TaBeS2Cl at its PBEsol-relaxed geometry. The functional is meta-GGA SCAN.

Summary:
uncorrected formation energy = 223 meV/atom
total DFT energy (no corrections) = -19.411 eV per atom

Lattice parameters (Å, degrees): 4.364 4.364 4.024 90.00 90.00 90.00
Fractional positions:
Ta: 0.000 0.000 0.000
Be: 0.500 0.500 0.500
S: 0.000 0.500 0.500
S: 0.500 0.000 0.500
Cl: 0.500 0.500 0.000

=====

This record from Alexandria via LeMat-Bulk describes TiBeSCl2 at its PBEsol-relaxed geometry. The functional is meta-GGA SCAN.

Summary:
uncorrected formation energy = -443 meV/atom
total DFT energy (no corrections) = -9.636 eV per atom

Lattice parameters (Å, degrees): 4.704 4.704 4.693 90.00 90.00 90.00
Fractional positions:
Ti: 0.000 0.000 0.000
Be: 0.500 0.500 0.500
S: 0.000 0.000 0.500
Cl: 0.000 0.500 0.000
Cl: 0.500 0.000 0.000

=====

This record from Alexandria via LeMat-Bulk describes BeWSCl2 at its PBEsol-relaxed geometry. The functional is meta-GGA SCAN.

Summary:
uncorrected formation energy = 1453 meV/atom
total DFT energy (no corrections) = -18.473 eV per atom

Lattice parameters (Å, degrees): 5.020 5.020 4.561 90.00 90.00 90.00
Fractional positions:
Be: 0.000 0.000 0.000
W: 0.500 0.500 0.000
S: 0.500 0.500 0.500
Cl: 0.000 0.500 0.500
Cl: 0.500 0.000 0.500

=====

This record from Alexandria via LeMat-Bulk describes BeSbCl2 at its PBEsol-relaxed geometry. The functional is meta-GGA SCAN.

Summary:
uncorrected formation energy = 439 meV/atom
distance to the lowest polymorph of the same formula = 4.38 eV/f.u.
total DFT energy (no corrections) = -13.954 eV per atom

Lattice parameters (Å, degrees): 4.316 4.316 4.222 90.00 90.00 90.00
Fractional positions:
Be: 0.000 0.000 0.000
Sb: 0.500 0.500 0.000
Cl: 0.000 0.500 0.500
Cl: 0.500 0.000 0.500

=====

This record from Alexandria via LeMat-Bulk describes Be2SbCl at its PBEsol-relaxed geometry. The functional is meta-GGA SCAN.

Summary:
uncorrected formation energy = 590 meV/atom
distance to the lowest polymorph of the same formula = 1.97 eV/f.u.
total DFT energy (no corrections) = -12.897 eV per atom

Lattice parameters (Å, degrees): 3.158 3.158 6.709 90.00 90.00 90.00
Fractional positions:
Be: 0.000 0.000 0.234
Be: 0.000 0.000 0.766
Sb: 0.500 0.500 0.000
Cl: 0.500 0.500 0.500

=====

This record from Alexandria via LeMat-Bulk describes BeSbCl at its PBEsol-relaxed geometry. The functional is meta-GGA SCAN.

Summary:
uncorrected formation energy = -275 meV/atom
distance to the lowest polymorph of the same formula = 0.35 eV/f.u.
total DFT energy (no corrections) = -16.805 eV per atom

Lattice parameters (Å, degrees): 3.082 5.997 14.490 90.00 90.00 90.00
Fractional positions:
Be: 0.000 0.000 0.000
Be: 0.000 0.500 0.500
Be: 0.500 0.000 0.500
Be: 0.500 0.500 0.000
Sb: 0.000 0.000 0.351
Sb: 0.000 0.500 0.851
Sb: 0.500 0.000 0.851
Sb: 0.500 0.500 0.351
Cl: 0.000 0.000 0.593
Cl: 0.000 0.500 0.093
Cl: 0.500 0.000 0.093
Cl: 0.500 0.500 0.593

=====

This record from Alexandria via LeMat-Bulk describes Be2SbCl at its PBEsol-relaxed geometry. The functional is meta-GGA SCAN.

Summary:
uncorrected formation energy = 97 meV/atom
distance to the lowest polymorph of the same formula = 0.00 eV/f.u.
total DFT energy (no corrections) = -13.389 eV per atom

Lattice parameters (Å, degrees): 3.664 3.664 5.016 90.00 90.00 90.00
Fractional positions:
Be: 0.000 0.000 0.000
Be: 0.500 0.500 0.421
Sb: 0.500 0.500 0.917
Cl: 0.000 0.000 0.414

=====

This record from Alexandria via LeMat-Bulk describes BeSbCl2 at its PBEsol-relaxed geometry. The functional is meta-GGA SCAN.

Summary:
uncorrected formation energy = -409 meV/atom
distance to the lowest polymorph of the same formula = 0.98 eV/f.u.
total DFT energy (no corrections) = -14.802 eV per atom

Lattice parameters (Å, degrees): 6.405 6.405 8.945 90.00 90.00 90.00
Fractional positions:
Be: 0.000 0.000 0.000
Be: 0.000 0.500 0.250
Be: 0.500 0.000 0.750
Be: 0.500 0.500 0.500
Sb: 0.000 0.000 0.500
Sb: 0.000 0.500 0.750
Sb: 0.500 0.000 0.250
Sb: 0.500 0.500 0.000
Cl: 0.058 0.250 0.125
Cl: 0.250 0.558 0.375
Cl: 0.250 0.942 0.875
Cl: 0.442 0.250 0.625
Cl: 0.558 0.750 0.625
Cl: 0.750 0.058 0.875
Cl: 0.750 0.442 0.375
Cl: 0.942 0.750 0.125

=====

This record from Alexandria via LeMat-Bulk describes BeSb3Cl at its PBEsol-relaxed geometry. The functional is meta-GGA SCAN.

Summary:
uncorrected formation energy = 344 meV/atom
total DFT energy (no corrections) = -24.479 eV per atom

Lattice parameters (Å, degrees): 4.880 4.880 4.880 90.00 90.00 90.00
Fractional positions:
Be: 0.000 0.000 0.000
Sb: 0.000 0.000 0.500
Sb: 0.000 0.500 0.000
Sb: 0.500 0.000 0.000
Cl: 0.500 0.500 0.500

=====

This record from Alexandria via LeMat-Bulk describes BeSbCl at its PBEsol-relaxed geometry. The functional is meta-GGA SCAN.

Summary:
uncorrected formation energy = -392 meV/atom
distance to the lowest polymorph of the same formula = 0.00 eV/f.u.
total DFT energy (no corrections) = -16.923 eV per atom

Lattice parameters (Å, degrees): 3.193 3.193 6.834 90.00 90.00 120.00
Fractional positions:
Be: 0.000 0.000 0.000
Sb: 0.667 0.333 0.303
Cl: 0.333 0.667 0.829

=====

This record from Alexandria via LeMat-Bulk describes BeSbCl2 at its PBEsol-relaxed geometry. The functional is meta-GGA SCAN.

Summary:
uncorrected formation energy = 443 meV/atom
distance to the lowest polymorph of the same formula = 4.39 eV/f.u.
total DFT energy (no corrections) = -13.949 eV per atom

Lattice parameters (Å, degrees): 3.165 4.177 5.993 90.00 90.00 90.00
Fractional positions:
Be: 0.000 0.000 0.000
Sb: 0.000 0.000 0.500
Cl: 0.500 0.500 0.242
Cl: 0.500 0.500 0.758

=====

This record from Alexandria via LeMat-Bulk describes BeSb2Cl at its PBEsol-relaxed geometry. The functional is meta-GGA SCAN.

Summary:
uncorrected formation energy = 310 meV/atom
distance to the lowest polymorph of the same formula = 0.88 eV/f.u.
total DFT energy (no corrections) = -21.403 eV per atom

Lattice parameters (Å, degrees): 5.494 5.494 14.160 90.00 90.00 90.00
Fractional positions:
Be: 0.000 0.000 0.000
Be: 0.000 0.500 0.250
Be: 0.500 0.000 0.750
Be: 0.500 0.500 0.500
Sb: 0.150 0.250 0.125
Sb: 0.250 0.650 0.375
Sb: 0.250 0.850 0.875
Sb: 0.350 0.250 0.625
Sb: 0.650 0.750 0.625
Sb: 0.750 0.150 0.875
Sb: 0.750 0.350 0.375
Sb: 0.850 0.750 0.125
Cl: 0.000 0.000 0.500
Cl: 0.000 0.500 0.750
Cl: 0.500 0.000 0.250
Cl: 0.500 0.500 0.000

=====

This record from Alexandria via LeMat-Bulk describes BeSb2Cl at its PBEsol-relaxed geometry. The functional is meta-GGA SCAN.

Summary:
uncorrected formation energy = 474 meV/atom
distance to the lowest polymorph of the same formula = 1.54 eV/f.u.
total DFT energy (no corrections) = -21.239 eV per atom

Lattice parameters (Å, degrees): 5.088 5.088 3.168 90.00 90.00 90.00
Fractional positions:
Be: 0.000 0.000 0.000
Sb: 0.000 0.500 0.500
Sb: 0.500 0.000 0.500
Cl: 0.500 0.500 0.000

=====

This record from Alexandria via LeMat-Bulk describes BeSbCl2 at its PBEsol-relaxed geometry. The functional is meta-GGA SCAN.

Summary:
uncorrected formation energy = -655 meV/atom
distance to the lowest polymorph of the same formula = 0.00 eV/f.u.
total DFT energy (no corrections) = -15.048 eV per atom

Lattice parameters (Å, degrees): 2.995 6.137 11.322 90.00 90.00 90.00
Fractional positions:
Be: 0.000 0.000 0.000
Be: 0.500 0.500 0.000
Sb: 0.000 0.000 0.500
Sb: 0.500 0.500 0.500
Cl: 0.000 0.500 0.128
Cl: 0.000 0.500 0.872
Cl: 0.500 0.000 0.128
Cl: 0.500 0.000 0.872

=====

This record from Alexandria via LeMat-Bulk describes BeSb2Cl at its PBEsol-relaxed geometry. The functional is meta-GGA SCAN.

Summary:
uncorrected formation energy = 90 meV/atom
distance to the lowest polymorph of the same formula = 0.00 eV/f.u.
total DFT energy (no corrections) = -21.623 eV per atom

Lattice parameters (Å, degrees): 3.255 3.255 7.687 90.00 90.00 90.00
Fractional positions:
Be: 0.000 0.000 0.000
Sb: 0.500 0.500 0.205
Sb: 0.500 0.500 0.795
Cl: 0.000 0.000 0.500

=====

This record from Alexandria via LeMat-Bulk describes Sc2BeCl at its PBEsol-relaxed geometry. The functional is meta-GGA SCAN.

Summary:
uncorrected formation energy = -670 meV/atom
distance to the lowest polymorph of the same formula = 0.09 eV/f.u.
total DFT energy (no corrections) = -10.871 eV per atom

Lattice parameters (Å, degrees): 3.133 3.212 7.294 90.00 90.00 90.00
Fractional positions:
Sc: 0.000 0.000 0.209
Sc: 0.000 0.000 0.791
Be: 0.500 0.500 0.000
Cl: 0.500 0.000 0.500

=====

This record from Alexandria via LeMat-Bulk describes Sc2BeCl at its PBEsol-relaxed geometry. The functional is meta-GGA SCAN.

Summary:
uncorrected formation energy = -691 meV/atom
distance to the lowest polymorph of the same formula = 0.00 eV/f.u.
total DFT energy (no corrections) = -10.892 eV per atom

Lattice parameters (Å, degrees): 3.481 3.481 19.965 90.00 90.00 120.00
Fractional positions:
Sc: 0.000 0.000 0.244
Sc: 0.000 0.000 0.756
Sc: 0.333 0.667 0.423
Sc: 0.333 0.667 0.910
Sc: 0.667 0.333 0.090
Sc: 0.667 0.333 0.577
Be: 0.000 0.000 0.500
Be: 0.333 0.667 0.167
Be: 0.667 0.333 0.833
Cl: 0.000 0.000 0.000
Cl: 0.333 0.667 0.667
Cl: 0.667 0.333 0.333

=====

This record from Alexandria via LeMat-Bulk describes Sc2BeCl at its PBEsol-relaxed geometry. The functional is meta-GGA SCAN.

Summary:
uncorrected formation energy = -498 meV/atom
distance to the lowest polymorph of the same formula = 0.77 eV/f.u.
total DFT energy (no corrections) = -10.699 eV per atom

Lattice parameters (Å, degrees): 3.182 3.382 13.404 90.00 90.00 90.00
Fractional positions:
Sc: 0.000 0.000 0.000
Sc: 0.000 0.500 0.270
Sc: 0.500 0.000 0.770
Sc: 0.500 0.500 0.500
Be: 0.000 0.500 0.856
Be: 0.500 0.000 0.356
Cl: 0.000 0.000 0.603
Cl: 0.500 0.500 0.103

=====

This record from Alexandria via LeMat-Bulk describes ScBeCl2 at its PBEsol-relaxed geometry. The functional is meta-GGA SCAN.

Summary:
uncorrected formation energy = -509 meV/atom
total DFT energy (no corrections) = -9.146 eV per atom

Lattice parameters (Å, degrees): 3.304 4.171 5.295 90.00 93.06 90.00
Fractional positions:
Sc: 0.000 0.000 0.000
Be: 0.500 0.000 0.500
Cl: 0.250 0.500 0.249
Cl: 0.750 0.500 0.751